ErNbCo2 after structural relaxation, computed with PBE.

a b c (Å): 3.1201 3.1201 6.7004
angles (deg): 90.00 90.00 90.00
Space group P4/mmm (No. 123)
Inequivalent atoms, fractional coordinates:
1 Er 0.0000 0.0000 0.0000 [1 per cell]
2 Nb 0.0000 0.0000 0.5000 [1 per cell]
3 Co 0.5000 0.5000 0.2964 [2 per cell]

Output
energy relative to the elements	-129.3	meV/atom
Fermi-level density of states	1.219	states/eV per atom
raw total energy	-0.270	hartree per atom